Compound: Mn2Tc
Source: Alexandria via LeMat-Bulk
Functional: PBE-GGA
Structure: optimized geometry

Structure (POSCAR):
```
Mn2Tc
1.0
1.3402 4.6195 0.1502
-1.3402 4.6195 0.1502
0.0000 1.8403 5.9050
Mn Tc
4 2
Cartesian
0.0000 1.7313 4.4805 Mn
0.0000 3.2445 0.2598 Mn
0.0000 7.8347 5.9457 Mn
0.0000 9.3479 1.7249 Mn
0.0000 6.8201 2.4860 Tc
0.0000 4.2591 3.7195 Tc
```

Properties
Crystal system: monoclinic
SG: No. 12
Offset from the most stable computed form, eV/atom: 0.1510
Formation energy from the elements, eV per atom: 0.07
E_tot, eV per cell: -57.00